DFT (GGA-PBE) results for Zr2Ga3Co after structural relaxation.

Lattice parameters (Å, degrees): 13.2181 8.1256 6.3682 90.00 117.60 90.00
Space group Cm (No. 8)
One atom of each set of equivalent atoms:
Zr 0.0000 0.2427 0.0000 (multiplicity 4)
Zr 0.2194 0.2456 0.8733 (multiplicity 4)
Zr 0.4342 0.2552 0.4382 (multiplicity 4)
Ga 0.0604 0.0000 0.7616 (multiplicity 2)
Ga 0.0608 0.5000 0.7838 (multiplicity 2)
Ga 0.0915 0.5000 0.4053 (multiplicity 2)
Ga 0.2081 0.2372 0.3881 (multiplicity 4)
Ga 0.3329 0.0000 0.6498 (multiplicity 2)
Ga 0.3378 0.5000 0.6528 (multiplicity 2)
Ga 0.3792 0.0000 0.1012 (multiplicity 2)
Ga 0.3796 0.5000 0.1062 (multiplicity 2)
Co 0.0912 0.0000 0.4110 (multiplicity 2)
Co 0.2153 0.0000 0.1688 (multiplicity 2)
Co 0.2162 0.5000 0.1977 (multiplicity 2)

D(E_F): 17.5 states/eV/cell
DFT formation energy: -0.51 eV/atom
size of the total moment: 0.00 μB per cell